Density functional theory data (PBE) for a geometry-optimized Sm2Ga5Rh3 structure.

Computed properties:
The symmetry is Ibam (72). The value obtained for the calculated formation energy is -808.5 meV per atom.

Unit cell a=5.731 b=8.634 c=8.634 alpha=70.93 beta=70.62 gamma=70.62
Element x y z (fractional)
Rh 0.649 0.441 0.262
Ga 0.046 0.204 0.204
Rh 0.851 0.738 0.559
Rh 0.250 0.000 0.000
Ga 0.750 0.500 0.500
Sm 0.139 0.588 0.134
Ga 0.454 0.796 0.796
Rh 0.750 0.000 0.000
Sm 0.361 0.866 0.412
Ga 0.911 0.915 0.264
Rh 0.351 0.559 0.738
Sm 0.639 0.134 0.588
Ga 0.954 0.796 0.796
Ga 0.589 0.736 0.085
Ga 0.250 0.500 0.500
Rh 0.149 0.262 0.441
Sm 0.861 0.412 0.866
Ga 0.089 0.085 0.736
Ga 0.411 0.264 0.915
Ga 0.546 0.204 0.204

***

Density functional theory data (PBE) for a geometry-optimized SmGa4Rh2 structure.

Computed properties:
The symmetry is Pnma (62). The value obtained for the calculated formation energy is -690.6 meV per atom.

Unit cell a=4.351 b=6.552 c=17.187 alpha=90.00 beta=90.00 gamma=90.00
Element x y z (fractional)
Ga 0.750 0.992 0.067
Rh 0.750 0.514 0.712
Ga 0.750 0.283 0.309
Ga 0.750 0.692 0.313
Ga 0.750 0.808 0.813
Ga 0.250 0.492 0.433
Rh 0.750 0.242 0.460
Rh 0.250 0.742 0.040
Ga 0.250 0.162 0.534
Sm 0.750 0.488 0.139
Ga 0.250 0.192 0.187
Ga 0.250 0.308 0.687
Ga 0.750 0.508 0.567
Sm 0.250 0.988 0.361
Rh 0.250 0.014 0.788
Ga 0.250 0.783 0.191
Ga 0.250 0.717 0.691
Rh 0.250 0.758 0.540
Rh 0.250 0.486 0.288
Ga 0.750 0.838 0.466
Rh 0.750 0.986 0.212
Ga 0.750 0.217 0.809
Ga 0.250 0.338 0.034
Ga 0.250 0.008 0.933
Sm 0.750 0.012 0.639
Sm 0.250 0.512 0.861
Rh 0.750 0.258 0.960
Ga 0.750 0.662 0.966

***

Density functional theory data (PBE) for a geometry-optimized SmGa9Rh2 structure.

Computed properties:
The symmetry is I4_1/amd (141). The value obtained for the calculated formation energy is -385.7 meV per atom.

Unit cell a=8.318 b=8.318 c=8.318 alpha=102.09 beta=102.09 gamma=125.52
Element x y z (fractional)
Rh 0.625 0.875 0.750
Ga 0.985 0.070 0.674
Ga 0.397 0.070 0.085
Rh 0.125 0.375 0.250
Ga 0.320 0.735 0.174
Ga 0.397 0.311 0.326
Ga 0.265 0.680 0.826
Ga 0.561 0.735 0.415
Ga 0.930 0.603 0.915
Ga 0.930 0.015 0.326
Ga 0.689 0.603 0.674
Sm 0.750 0.250 0.500
Ga 0.250 0.750 0.500
Rh 0.125 0.875 0.750
Ga 0.853 0.439 0.174
Ga 0.265 0.439 0.585
Ga 0.561 0.147 0.826
Rh 0.125 0.875 0.250
Sm 0.500 0.500 0.000
Ga 0.985 0.311 0.915
Ga 0.689 0.015 0.085
Ga 0.853 0.680 0.415
Ga 0.320 0.147 0.585
Ga 0.000 0.000 0.000

***

Density functional theory data (PBE) for a geometry-optimized SmGa3Rh3 structure.

Computed properties:
The symmetry is P2_13 (198). The value obtained for the calculated formation energy is -635.0 meV per atom.

Unit cell a=7.770 b=7.770 c=7.770 alpha=90.00 beta=90.00 gamma=90.00
Element x y z (fractional)
Rh 0.332 0.168 0.832
Rh 0.788 0.712 0.288
Rh 0.117 0.383 0.617
Rh 0.668 0.668 0.668
Rh 0.168 0.832 0.332
Sm 0.939 0.061 0.561
Ga 0.916 0.008 0.194
Ga 0.008 0.194 0.916
Rh 0.383 0.617 0.117
Rh 0.288 0.788 0.712
Ga 0.992 0.694 0.584
Rh 0.617 0.117 0.383
Sm 0.561 0.939 0.061
Rh 0.712 0.288 0.788
Ga 0.806 0.416 0.492
Ga 0.194 0.916 0.008
Ga 0.508 0.306 0.084
Ga 0.492 0.806 0.416
Ga 0.694 0.584 0.992
Sm 0.439 0.439 0.439
Ga 0.416 0.492 0.806
Rh 0.212 0.212 0.212
Ga 0.584 0.992 0.694
Rh 0.883 0.883 0.883
Sm 0.061 0.561 0.939
Ga 0.306 0.084 0.508
Ga 0.084 0.508 0.306
Rh 0.832 0.332 0.168

***

Density functional theory data (PBE) for a geometry-optimized Sm4GaRh4 structure.

Computed properties:
The symmetry is P4_2/n (86). The value obtained for the calculated formation energy is -654.4 meV per atom.

Unit cell a=5.612 b=8.569 c=8.569 alpha=90.00 beta=90.00 gamma=90.00
Element x y z (fractional)
Rh 0.385 0.504 0.860
Ga 0.250 0.750 0.750
Sm 0.616 0.816 0.043
Rh 0.615 0.004 0.360
Rh 0.885 0.140 0.004
Sm 0.884 0.457 0.816
Rh 0.385 0.996 0.640
Ga 0.750 0.250 0.250
Sm 0.116 0.957 0.316
Rh 0.885 0.360 0.496
Sm 0.616 0.684 0.457
Rh 0.115 0.860 0.996
Sm 0.116 0.543 0.184
Rh 0.615 0.496 0.140
Sm 0.384 0.184 0.957
Rh 0.115 0.640 0.504
Sm 0.384 0.316 0.543
Sm 0.884 0.043 0.684

***

Density functional theory data (PBE) for a geometry-optimized Sm3Ga2Rh7 structure.

Computed properties:
The symmetry is R-3m (166). The value obtained for the calculated formation energy is -731.0 meV per atom.

Unit cell a=5.497 b=5.497 c=8.809 alpha=71.82 beta=71.82 gamma=60.00
Element x y z (fractional)
Rh 0.500 0.500 0.500
Sm 0.000 0.000 0.000
Sm 0.859 0.859 0.422
Sm 0.141 0.141 0.578
Rh 0.418 0.922 0.242
Rh 0.582 0.582 0.758
Rh 0.418 0.418 0.242
Rh 0.922 0.418 0.242
Ga 0.666 0.666 0.003
Ga 0.334 0.334 0.997
Rh 0.078 0.582 0.758
Rh 0.582 0.078 0.758

***

Density functional theory data (PBE) for a geometry-optimized Sm2Ga6Rh9 structure.

Computed properties:
The symmetry is P6/mmm (191). The value obtained for the calculated formation energy is -570.0 meV per atom.

Unit cell a=5.571 b=5.571 c=11.637 alpha=90.00 beta=90.00 gamma=120.00
Element x y z (fractional)
Rh 0.000 0.500 0.500
Rh 0.500 0.000 0.500
Ga 0.333 0.667 0.665
Rh 0.500 0.000 0.831
Rh 0.000 0.500 0.831
Ga 0.333 0.667 0.335
Sm 0.000 0.000 0.300
Rh 0.500 0.500 0.500
Ga 0.667 0.333 0.000
Rh 0.500 0.000 0.169
Ga 0.333 0.667 0.000
Rh 0.000 0.500 0.169
Rh 0.500 0.500 0.169
Rh 0.500 0.500 0.831
Ga 0.667 0.333 0.665
Sm 0.000 0.000 0.700
Ga 0.667 0.333 0.335

***

Density functional theory data (PBE) for a geometry-optimized SmGa2Rh structure.

Computed properties:
The symmetry is P6_3/mmc (194). The value obtained for the calculated formation energy is -749.0 meV per atom.

Unit cell a=4.218 b=4.218 c=10.289 alpha=90.00 beta=90.00 gamma=120.00
Element x y z (fractional)
Rh 0.000 0.000 0.500
Ga 0.667 0.333 0.426
Sm 0.667 0.333 0.750
Ga 0.667 0.333 0.074
Ga 0.333 0.667 0.574
Rh 0.000 0.000 0.000
Ga 0.333 0.667 0.926
Sm 0.333 0.667 0.250